# NaTeH2Rh (PBE-GGA, relaxed)
# calculated volume: 80.0 Å³ per cell
# density of states at the Fermi level: 2.50 states/eV per cell
# total moment: 0.00 Bohr magnetons per cell
# ΔE to the lowest computed polymorph: 0.000 eV/atom
# electronic total energy: -3.627 eV per atom
data_NaTeH2Rh
_space_group_name_H-M_alt 'P 4/m m m'
_space_group_IT_number 123
_space_group_name_Hall '-P 4 2'
_cell_length_a 3.9353
_cell_length_b 3.9353
_cell_length_c 5.1668
_cell_angle_alpha 90.00
_cell_angle_beta 90.00
_cell_angle_gamma 90.00
loop_
_atom_site_label
_atom_site_type_symbol
_atom_site_fract_x
_atom_site_fract_y
_atom_site_fract_z
Na1 Na 0.0000 0.0000 0.0000
Te1 Te 0.5000 0.5000 0.0000
H1 H 0.0000 0.5000 0.5000
Rh1 Rh 0.5000 0.5000 0.5000



# SrInSb2 (PBE-GGA, relaxed)
# calculated volume: 236.8 Å³ per cell
# density of states at the Fermi level: 3.31 states/eV per cell
# total moment: 0.00 Bohr magnetons per cell
# electronic total energy: -3.597 eV per atom
# raw formation energy: -0.430 eV/atom
data_SrInSb2
_space_group_name_H-M_alt 'I 4/m m m'
_space_group_IT_number 139
_space_group_name_Hall '-I 4 2'
_cell_length_a 4.8844
_cell_length_b 4.8844
_cell_length_c 9.9272
_cell_angle_alpha 90.00
_cell_angle_beta 90.00
_cell_angle_gamma 90.00
loop_
_atom_site_label
_atom_site_type_symbol
_atom_site_fract_x
_atom_site_fract_y
_atom_site_fract_z
Sr1 Sr 0.0000 0.0000 0.0000
In1 In 0.0000 0.0000 0.5000
Sb1 Sb 0.0000 0.5000 0.2500



# La5PrHo2Sc (PBE-GGA, relaxed)
# calculated volume: 1258.2 Å³ per cell
# density of states at the Fermi level: 57.52 states/eV per cell
# ΔE_f: 125 meV per atom
# total moment: 0.00 Bohr magnetons per cell
# electronic total energy: -4.864 eV per atom
data_La5PrHo2Sc
_space_group_name_H-M_alt 'C m c 21'
_space_group_IT_number 36
_cell_length_a 5.4555
_cell_length_b 22.0128
_cell_length_c 10.4774
_cell_angle_alpha 90.00
_cell_angle_beta 90.00
_cell_angle_gamma 90.00
loop_
_space_group_symop_operation_xyz
'x,y,z'
'-x,-y,z+1/2'
'-x,y,z'
'x,-y,z+1/2'
'x+1/2,y+1/2,z'
'-x+1/2,-y+1/2,z+1/2'
'-x+1/2,y+1/2,z'
'x+1/2,-y+1/2,z+1/2'
loop_
_atom_site_label
_atom_site_type_symbol
_atom_site_fract_x
_atom_site_fract_y
_atom_site_fract_z
La1 La 0.0000 0.0009 0.0000
La2 La 0.0000 0.1274 0.2487
La3 La 0.0000 0.2200 0.5570
La4 La 0.0000 0.2239 0.9323
La5 La 0.0000 0.4975 0.7491
Pr1 Pr 0.0000 0.1009 0.7495
Ho1 Ho 0.0000 0.3833 0.4954
Ho2 Ho 0.0000 0.3863 0.0034
Sc1 Sc 0.0000 0.2885 0.2452



# VS2N (PBE-GGA, relaxed)
# calculated volume: 245.9 Å³ per cell
# density of states at the Fermi level: 7.31 states/eV per cell
# total moment: 0.00 Bohr magnetons per cell
# electronic total energy: -5.768 eV per atom
# raw formation energy: 0.657 eV/atom
data_VS2N
_space_group_name_H-M_alt 'I -4 2 d'
_space_group_IT_number 122
_space_group_name_Hall 'I -4 2bw'
_cell_length_a 5.0000
_cell_length_b 5.0000
_cell_length_c 9.8361
_cell_angle_alpha 90.00
_cell_angle_beta 90.00
_cell_angle_gamma 90.00
loop_
_atom_site_label
_atom_site_type_symbol
_atom_site_fract_x
_atom_site_fract_y
_atom_site_fract_z
V1 V 0.0000 0.0000 0.0000
S1 S 0.2255 0.2500 0.6250
N1 N 0.0000 0.0000 0.5000



# PuPaCu (PBE-GGA, relaxed)
# calculated volume: 57.6 Å³ per cell
# density of states at the Fermi level: 6.81 states/eV per cell
# ΔE_f: 201 meV per atom
# total moment: 4.29 Bohr magnetons per cell
# ΔE to the lowest computed polymorph: 0.096 eV/atom
# electronic total energy: -9.107 eV per atom
data_PuPaCu
_space_group_name_H-M_alt 'P -6 m 2'
_space_group_IT_number 187
_space_group_name_Hall 'P -6 2'
_cell_length_a 4.8519
_cell_length_b 4.8519
_cell_length_c 2.8229
_cell_angle_alpha 90.00
_cell_angle_beta 90.00
_cell_angle_gamma 120.00
loop_
_atom_site_label
_atom_site_type_symbol
_atom_site_fract_x
_atom_site_fract_y
_atom_site_fract_z
Pu1 Pu 0.0000 0.0000 0.0000
Pa1 Pa 0.3333 0.6667 0.0000
Cu1 Cu 0.6667 0.3333 0.5000



# Ba2CdSb (PBE-GGA, relaxed)
# calculated volume: 324.8 Å³ per cell
# density of states at the Fermi level: 5.20 states/eV per cell
# total moment: 0.00 Bohr magnetons per cell
# ΔE to the lowest computed polymorph: 0.000 eV/atom
# electronic total energy: -2.929 eV per atom
# raw formation energy: -0.709 eV/atom
data_Ba2CdSb
_space_group_name_H-M_alt 'A m m 2'
_space_group_IT_number 38
_cell_length_a 5.0337
_cell_length_b 4.9941
_cell_length_c 12.9191
_cell_angle_alpha 90.00
_cell_angle_beta 90.00
_cell_angle_gamma 90.00
loop_
_space_group_symop_operation_xyz
'x,y,z'
'-x,-y,z'
'-x,y,z'
'x,-y,z'
'x,y+1/2,z+1/2'
'-x,-y+1/2,z+1/2'
'-x,y+1/2,z+1/2'
'x,-y+1/2,z+1/2'
loop_
_atom_site_label
_atom_site_type_symbol
_atom_site_fract_x
_atom_site_fract_y
_atom_site_fract_z
Ba1 Ba 0.0000 0.0000 0.0000
Ba2 Ba 0.5000 0.0000 0.2719
Cd1 Cd 0.0000 0.0000 0.7151
Sb1 Sb 0.5000 0.0000 0.5595